No. 1
The following is a PBE calculation of crystalline ScOsAuBr2 at its relaxed geometry, from Alexandria.

## Properties
* volume: 25.33 A^3/atom

POSCAR file:
```
ScOsAuBr2
1.0
4.9633 0.0000 0.0000
0.0000 4.9633 0.0000
0.0000 0.0000 5.1421
Sc Os Au Br
1 1 1 2
direct
0.0000 0.0000 0.0000
0.0000 0.0000 0.5000
0.5000 0.5000 0.0000
0.0000 0.5000 0.5000
0.5000 0.0000 0.5000
```

=====

No. 2
The following is a PBE calculation of crystalline OsAuSe2Br at its relaxed geometry, from Alexandria.

## Properties
* volume: 24.49 A^3/atom

POSCAR file:
```
OsAuSe2Br
1.0
4.7723 0.0000 0.0000
0.0000 4.7723 0.0000
0.0000 0.0000 5.3759
Os Au Se Br
1 1 2 1
direct
0.0000 0.0000 0.0000
0.5000 0.5000 0.5000
0.0000 0.5000 0.0000
0.5000 0.0000 0.0000
0.0000 0.0000 0.5000
```

=====

No. 3
The following is a PBE calculation of crystalline Sm6Os2AuBr3 at its relaxed geometry, from Alexandria.

## Properties
* volume: 28.99 A^3/atom

POSCAR file:
```
Sm6Os2AuBr3
1.0
3.5997 -6.2381 0.0000
3.5997 6.2381 0.0000
-2.3925 0.0000 7.7456
Sm Os Au Br
6 2 1 3
direct
0.0766 0.4342 0.8025
0.2073 0.2073 0.1968
0.4342 0.0766 0.8025
0.5658 0.9234 0.1975
0.7927 0.7927 0.8032
0.9234 0.5658 0.1975
0.1666 0.8334 0.0000
0.8334 0.1666 0.0000
0.5000 0.5000 0.0000
0.0000 0.0000 0.5000
0.3309 0.6691 0.5000
0.6691 0.3309 0.5000
```

=====

No. 4
The following is a PBE calculation of crystalline TaOsAuBr2 at its relaxed geometry, from Alexandria.

## Properties
* volume: 24.64 A^3/atom

POSCAR file:
```
TaOsAuBr2
1.0
4.9300 0.0000 0.0000
0.0000 4.9300 0.0000
0.0000 0.0000 5.0680
Ta Os Au Br
1 1 1 2
direct
0.0000 0.0000 0.0000
0.0000 0.0000 0.5000
0.5000 0.5000 0.0000
0.0000 0.5000 0.5000
0.5000 0.0000 0.5000
```

=====

No. 5
The following is a PBE calculation of crystalline VOsAu2Br at its relaxed geometry, from Alexandria.

## Properties
* volume: 22.72 A^3/atom

POSCAR file:
```
VOsAu2Br
1.0
4.9941 0.0000 0.0000
0.0000 4.9941 0.0000
0.0000 0.0000 4.5545
V Os Au Br
1 1 2 1
direct
0.0000 0.0000 0.0000
0.5000 0.5000 0.0000
0.0000 0.5000 0.5000
0.5000 0.0000 0.5000
0.5000 0.5000 0.5000
```

=====

No. 6
The following is a PBE calculation of crystalline VOsAu2Br at its relaxed geometry, from Alexandria.

## Properties
* volume: 23.28 A^3/atom

POSCAR file:
```
VOsAu2Br
1.0
5.0525 0.0000 0.0000
0.0000 5.0525 0.0000
0.0000 0.0000 4.5604
V Os Au Br
1 1 2 1
direct
0.0000 0.0000 0.0000
0.5000 0.5000 0.5000
0.0000 0.5000 0.0000
0.5000 0.0000 0.0000
0.0000 0.0000 0.5000
```

=====

No. 7
The following is a PBE calculation of crystalline ZrOsAu2Br at its relaxed geometry, from Alexandria.

## Properties
* volume: 22.85 A^3/atom

POSCAR file:
```
ZrOsAu2Br
1.0
4.8001 0.0000 0.0000
0.0000 4.8001 0.0000
0.0000 0.0000 4.9576
Zr Os Au Br
1 1 2 1
direct
0.0000 0.0000 0.0000
0.5000 0.5000 0.0000
0.0000 0.5000 0.5000
0.5000 0.0000 0.5000
0.0000 0.0000 0.5000
```

=====

No. 8
The following is a PBE calculation of crystalline PAuBr at its relaxed geometry, from Alexandria.

## Properties
* volume: 25.38 A^3/atom

POSCAR file:
```
PAuBr
1.0
-1.8095 1.8095 5.8128
1.8095 -1.8095 5.8128
1.8095 1.8095 -5.8128
P Au Br
1 1 1
direct
0.0000 0.0000 0.0000
0.4783 0.4783 0.0000
0.1953 0.1953 0.0000
```

=====

Raw formation energy / eV per atom: 0.4694, 0.7213, -0.8384, 1.2394, 1.8563, 1.5726, 1.5899, 0.0440
Calculated density / Mg/m³: 7.8, 8.5, 8.2, 9.8, 10.5, 10.2, 11.0, 6.7